# meta-GGA SCAN KSr3Pb, PBEsol geometry
data_KSr3Pb
_space_group_name_H-M_alt 'P m -3 m'
_space_group_IT_number 221
_space_group_name_Hall '-P 4 2 3'
_cell_length_a 6.489
_cell_length_b 6.489
_cell_length_c 6.489
_cell_angle_alpha 90.00
_cell_angle_beta 90.00
_cell_angle_gamma 90.00
loop_
_atom_site_label
_atom_site_fract_x
_atom_site_fract_y
_atom_site_fract_z
K1 0.000 0.000 0.000
Sr1 0.000 0.500 0.500
Pb1 0.500 0.500 0.500
# ΔE_f = -127 kJ/mol of formula units
# D(E_F) = 4.05 states/eV per cell
# E_tot = -152.3 eV for the cell shown